Density functional theory data (PBE) for crystalline ZnAsSe2F at its relaxed geometry.

- energy relative to the elements, uncorrected (meV per atom) = 389
- space-group type = P4/mmm
- calculated volume (Å³ per atom) = 22.79
- DFT total energy (eV per atom) = -2.56
- N(E_F) (states/eV/atom) = 0.7559
- M_tot (μB/f.u.) = 0.0

Structure (POSCAR):
```
ZnAsSe2F
1.0
-0.6352 1.3362 -4.5822
3.5819 -2.9219 -1.3486
-3.2194 -3.6600 -0.6210
Zn F Se As
1 1 2 1
Cartesian
0.0000 0.0000 0.0000
-0.1364 -2.6228 -3.2759
-0.3176 0.6681 -2.2911
1.7909 -1.4609 -0.6743
-1.6097 -1.8300 -0.3105
```